[1]
A plane-wave DFT calculation with PBE was carried out for EuErSi after structural relaxation.

Output
- Symmetry: No. 107
- Density of states at the Fermi level: 7.268 states/eV/cell
- Energy relative to the lowest polymorph listed for this composition: 115 meV per atom
- Raw formation energy: -0.247 eV/atom

Cell: 3.820 3.820 10.886 Å, 90.00 90.00 90.00°
Fractional coordinates of all 6 atoms:
Eu1 0.000 0.000 0.000
Eu2 0.500 0.500 0.500
Er1 0.000 0.000 0.279
Er2 0.500 0.500 0.779
Si1 0.000 0.000 0.674
Si2 0.500 0.500 0.174



[2]
A plane-wave DFT calculation with PBE was carried out for SmEu2Er after structural relaxation.

Output
- Symmetry: No. 225
- Density of states at the Fermi level: 20.688 states/eV/cell
- Formation energy from the elements: 0.1618 eV per atom
- Energy relative to the lowest polymorph listed for this composition: 48 meV per atom

Cell: 8.294 8.294 8.294 Å, 90.00 90.00 90.00°
Fractional coordinates of all 16 atoms:
Sm1 0.000 0.000 0.000
Sm2 0.000 0.500 0.500
Sm3 0.500 0.000 0.500
Sm4 0.500 0.500 0.000
Eu1 0.250 0.250 0.250
Eu2 0.250 0.250 0.750
Eu3 0.250 0.750 0.250
Eu4 0.250 0.750 0.750
Eu5 0.750 0.250 0.250
Eu6 0.750 0.250 0.750
Eu7 0.750 0.750 0.250
Eu8 0.750 0.750 0.750
Er1 0.000 0.000 0.500
Er2 0.000 0.500 0.000
Er3 0.500 0.000 0.000
Er4 0.500 0.500 0.500



[3]
A plane-wave DFT calculation with PBE was carried out for SmEuEr2 after structural relaxation.

Output
- Symmetry: No. 123
- Density of states at the Fermi level: 5.922 states/eV/cell
- Formation energy from the elements: 0.0916 eV per atom
- Energy relative to the lowest polymorph listed for this composition: 24 meV per atom

Cell: 5.100 5.100 5.080 Å, 90.00 90.00 90.00°
Fractional coordinates of all 4 atoms:
Sm1 0.000 0.000 0.000
Eu1 0.500 0.500 0.000
Er1 0.000 0.500 0.500
Er2 0.500 0.000 0.500



[4]
A plane-wave DFT calculation with PBE was carried out for SmEu2Er after structural relaxation.

Output
- Symmetry: No. 123
- Density of states at the Fermi level: 5.936 states/eV/cell
- Formation energy from the elements: 0.1661 eV per atom
- Energy relative to the lowest polymorph listed for this composition: 52 meV per atom

Cell: 5.918 5.918 4.075 Å, 90.00 90.00 90.00°
Fractional coordinates of all 4 atoms:
Sm1 0.000 0.000 0.000
Eu1 0.000 0.500 0.500
Eu2 0.500 0.000 0.500
Er1 0.500 0.500 0.000



[5]
A plane-wave DFT calculation with PBE was carried out for SmEuEr2 after structural relaxation.

Output
- Symmetry: No. 123
- Density of states at the Fermi level: 5.756 states/eV/cell
- Formation energy from the elements: 0.0675 eV per atom
- Energy relative to the lowest polymorph listed for this composition: 0 meV per atom

Cell: 3.622 3.622 10.241 Å, 90.00 90.00 90.00°
Fractional coordinates of all 4 atoms:
Sm1 0.000 0.000 0.000
Eu1 0.000 0.000 0.500
Er1 0.500 0.500 0.237
Er2 0.500 0.500 0.763



[6]
A plane-wave DFT calculation with PBE was carried out for SmEu2Er after structural relaxation.

Output
- Symmetry: No. 123
- Density of states at the Fermi level: 4.438 states/eV/cell
- Formation energy from the elements: 0.1142 eV per atom
- Energy relative to the lowest polymorph listed for this composition: 0 meV per atom

Cell: 3.660 3.660 10.617 Å, 90.00 90.00 90.00°
Fractional coordinates of all 4 atoms:
Sm1 0.000 0.000 0.000
Eu1 0.500 0.500 0.254
Eu2 0.500 0.500 0.746
Er1 0.000 0.000 0.500



[7]
A plane-wave DFT calculation with PBE was carried out for SmEu2Er after structural relaxation.

Output
- Symmetry: No. 166
- Density of states at the Fermi level: 17.400 states/eV/cell
- Formation energy from the elements: 0.2363 eV per atom
- Energy relative to the lowest polymorph listed for this composition: 122 meV per atom

Cell: 3.582 3.582 38.820 Å, 90.00 90.00 120.00°
Fractional coordinates of all 12 atoms:
Sm1 0.000 0.000 0.000
Sm2 0.333 0.667 0.667
Sm3 0.667 0.333 0.333
Eu1 0.000 0.000 0.414
Eu2 0.000 0.000 0.586
Eu3 0.333 0.667 0.080
Eu4 0.333 0.667 0.253
Eu5 0.667 0.333 0.747
Eu6 0.667 0.333 0.920
Er1 0.000 0.000 0.500
Er2 0.333 0.667 0.167
Er3 0.667 0.333 0.833



[8]
A plane-wave DFT calculation with PBE was carried out for SmEuEr2 after structural relaxation.

Output
- Symmetry: No. 225
- Density of states at the Fermi level: 27.977 states/eV/cell
- Formation energy from the elements: 0.1541 eV per atom
- Energy relative to the lowest polymorph listed for this composition: 87 meV per atom

Cell: 8.114 8.114 8.114 Å, 90.00 90.00 90.00°
Fractional coordinates of all 16 atoms:
Sm1 0.000 0.000 0.000
Sm2 0.000 0.500 0.500
Sm3 0.500 0.000 0.500
Sm4 0.500 0.500 0.000
Eu1 0.000 0.000 0.500
Eu2 0.000 0.500 0.000
Eu3 0.500 0.000 0.000
Eu4 0.500 0.500 0.500
Er1 0.250 0.250 0.250
Er2 0.250 0.250 0.750
Er3 0.250 0.750 0.250
Er4 0.250 0.750 0.750
Er5 0.750 0.250 0.250
Er6 0.750 0.250 0.750
Er7 0.750 0.750 0.250
Er8 0.750 0.750 0.750



- Which of these has the lowest density of states at the Fermi level?
  number 6